Entry 1:
The following is a DFT calculation (GGA-PBE) of crystalline CaPrMg at its relaxed geometry.

```
CaPrMg
1.0
5.7109 0.0000 0.0000
-2.8554 4.9458 0.0000
0.0000 0.0000 3.4914
Ca Pr Mg
1 1 1
direct
0.0000 0.0000 0.0000
0.6667 0.3333 0.5803
0.3333 0.6667 0.1917
```

Output
- space-group type = P3m1
- formation energy from the elements (eV/atom) = 0.046
- distance to the lowest polymorph of the same formula (meV/atom) = 101

Entry 2:
The following is a DFT calculation (GGA-PBE) of crystalline IrRuCl2 at its relaxed geometry.

```
IrRuCl2
1.0
-1.4181 2.6410 4.2360
1.4181 -2.6410 4.2360
1.4181 2.6410 -4.2360
Ir Ru Cl
1 1 2
direct
0.0000 0.0000 0.0000
0.5000 0.5000 0.0000
0.2678 0.7678 0.5000
0.7322 0.2322 0.5000
```

Output
- space-group type = Immm
- energy relative to the elements, uncorrected (eV/atom) = 0.771
- distance to the lowest polymorph of the same formula (meV/atom) = 726

Entry 3:
The following is a DFT calculation (GGA-PBE) of crystalline As2PRh at its relaxed geometry.

```
As2PRh
1.0
3.5571 -1.7829 0.0000
3.5571 1.7829 0.0000
-1.6345 0.0000 5.8134
As P Rh
2 1 1
direct
0.0000 0.0000 0.0000
0.6564 0.6564 0.2870
0.1354 0.1354 0.6906
0.4294 0.4294 0.5288
```

Output
- space-group type = Cm
- formation energy from the elements (eV/atom) = -0.118

Entry 4:
The following is a DFT calculation (GGA-PBE) of crystalline Mg2TaZn at its relaxed geometry.

```
Mg2TaZn
1.0
2.9086 0.0000 0.0000
0.0000 4.3491 0.0000
0.0000 0.0000 5.8463
Mg Ta Zn
2 1 1
direct
0.0000 0.0000 0.2498
0.0000 0.0000 0.7502
0.5000 0.5000 0.0000
0.5000 0.5000 0.5000
```

Output
- space-group type = Pmmm
- formation energy from the elements (eV/atom) = 0.256

Entry 5:
The following is a DFT calculation (GGA-PBE) of crystalline HfAl2FeSi at its relaxed geometry.

```
HfAl2FeSi
1.0
4.6382 0.0000 0.0000
0.0000 4.6382 0.0000
0.0000 0.0000 4.1137
Hf Al Fe Si
1 2 1 1
direct
0.0000 0.0000 0.0000
0.0000 0.5000 0.5000
0.5000 0.0000 0.5000
0.5000 0.5000 0.0000
0.5000 0.5000 0.5000
```

Output
- space-group type = P4/mmm
- energy relative to the elements, uncorrected (eV/atom) = 0.515
- distance to the lowest polymorph of the same formula (meV/atom) = 0

Entry 6:
The following is a DFT calculation (GGA-PBE) of crystalline Nd4NiOsCl2 at its relaxed geometry.

```
Nd4NiOsCl2
1.0
6.9628 0.0000 0.0000
0.0000 4.0738 0.0000
-2.3111 0.0000 7.6031
Nd Ni Os Cl
4 1 1 2
direct
0.2321 0.0000 0.2088
0.2672 0.5000 0.7989
0.7328 0.5000 0.2011
0.7679 0.0000 0.7912
0.5000 0.0000 0.0000
0.0000 0.5000 0.0000
0.0000 0.0000 0.5000
0.5000 0.5000 0.5000
```

Output
- space-group type = P2/m
- energy relative to the elements, uncorrected (eV/atom) = -0.872

Entry 7:
The following is a DFT calculation (GGA-PBE) of crystalline BaTcIr2 at its relaxed geometry.

```
BaTcIr2
1.0
2.2255 1.2849 5.8133
-2.2255 1.2849 5.8133
0.0000 -2.5697 5.8133
Ba Tc Ir
1 1 2
direct
0.0000 0.0000 0.0000
0.5000 0.5000 0.5000
0.1842 0.1842 0.1842
0.8158 0.8158 0.8158
```

Output
- space-group type = R-3m
- formation energy from the elements (eV/atom) = 0.094
- distance to the lowest polymorph of the same formula (meV/atom) = 0

Entry 8:
The following is a DFT calculation (GGA-PBE) of crystalline Nd4Er7Th at its relaxed geometry.

```
Nd4Er7Th
1.0
6.0807 -2.9717 0.0000
6.0807 2.9717 0.0000
-6.0418 0.0000 11.2358
Nd Er Th
4 7 1
direct
0.0599 0.0599 0.3322
0.3615 0.3615 0.2225
0.6385 0.6385 0.7775
0.9401 0.9401 0.6678
0.0000 0.0000 0.0000
0.2102 0.2102 0.9236
0.2509 0.2509 0.6846
0.3639 0.3639 0.4956
0.6361 0.6361 0.5044
0.7491 0.7491 0.3154
0.7898 0.7898 0.0764
0.5000 0.5000 0.0000
```

Output
- space-group type = C2/m
- formation energy from the elements (eV/atom) = 0.294
- distance to the lowest polymorph of the same formula (meV/atom) = 272

Entry 9:
The following is a DFT calculation (GGA-PBE) of crystalline Pm4ZnSiBr2 at its relaxed geometry.

```
Pm4ZnSiBr2
1.0
7.4164 0.0000 0.0000
0.0000 4.1936 0.0000
-2.3569 0.0000 7.1750
Pm Zn Si Br
4 1 1 2
direct
0.2341 0.0000 0.2196
0.2565 0.5000 0.7757
0.7435 0.5000 0.2243
0.7659 0.0000 0.7804
0.5000 0.0000 0.0000
0.0000 0.5000 0.0000
0.0000 0.0000 0.5000
0.5000 0.5000 0.5000
```

Output
- space-group type = P2/m
- energy relative to the elements, uncorrected (eV/atom) = -0.871

Entry 10:
The following is a DFT calculation (GGA-PBE) of crystalline ErZrInRh at its relaxed geometry.

```
ErZrInRh
1.0
0.0000 3.4975 3.4975
3.4975 0.0000 3.4975
3.4975 3.4975 0.0000
Er Zr In Rh
1 1 1 1
direct
0.0000 0.0000 0.0000
0.5000 0.5000 0.5000
0.2500 0.2500 0.2500
0.7500 0.7500 0.7500
```

Output
- space-group type = F-43m
- formation energy from the elements (eV/atom) = -0.429

Entry 11:
The following is a DFT calculation (GGA-PBE) of crystalline Sn2PdW at its relaxed geometry.

```
Sn2PdW
1.0
-3.6738 3.6738 3.0576
3.6738 -3.6738 3.0576
3.6738 3.6738 -3.0576
Sn Pd W
4 2 2
direct
0.1104 0.1250 0.4854
0.3750 0.8896 0.0146
0.6396 0.6250 0.5146
0.8750 0.3604 0.9854
0.0000 0.0000 0.0000
0.7500 0.2500 0.5000
0.2500 0.7500 0.5000
0.5000 0.5000 0.0000
```

Output
- space-group type = I-42d
- formation energy from the elements (eV/atom) = 0.636
- distance to the lowest polymorph of the same formula (meV/atom) = 320

Entry 12:
The following is a DFT calculation (GGA-PBE) of crystalline RbTa2N at its relaxed geometry.

```
RbTa2N
1.0
0.0000 4.6503 4.6503
4.6503 0.0000 4.6503
4.6503 4.6503 0.0000
Rb Ta N
2 4 2
direct
0.1250 0.1250 0.1250
0.8750 0.8750 0.8750
0.0000 0.5000 0.5000
0.5000 0.0000 0.5000
0.5000 0.5000 0.0000
0.5000 0.5000 0.5000
0.3750 0.3750 0.3750
0.6250 0.6250 0.6250
```

Output
- space-group type = Fd-3m
- energy relative to the elements, uncorrected (eV/atom) = 0.573

Entry 13:
The following is a DFT calculation (GGA-PBE) of crystalline PrY4Sc3 at its relaxed geometry.

```
PrY4Sc3
1.0
5.7403 -6.4111 0.0000
5.7403 6.4111 0.0000
0.0000 0.0000 3.3273
Pr Y Sc
1 4 3
direct
0.0000 0.0000 0.0000
0.2613 0.2613 0.5000
0.2620 0.7380 0.0000
0.7380 0.2620 0.0000
0.7387 0.7387 0.5000
0.0000 0.5000 0.5000
0.5000 0.0000 0.5000
0.5000 0.5000 0.0000
```

Output
- space-group type = Cmmm
- formation energy from the elements (eV/atom) = 0.432
- distance to the lowest polymorph of the same formula (meV/atom) = 245

Entry 14:
The following is a DFT calculation (GGA-PBE) of crystalline Er2Tm3Mg7 at its relaxed geometry.

```
Er2Tm3Mg7
1.0
2.5529 -12.9561 0.0000
2.5529 12.9561 0.0000
0.0000 0.0000 5.0855
Er Tm Mg
2 3 7
direct
0.1451 0.8549 0.0000
0.8549 0.1451 0.0000
0.3445 0.6555 0.5000
0.5000 0.5000 0.5000
0.6555 0.3445 0.5000
0.0000 0.0000 0.0000
0.0718 0.9282 0.5000
0.2716 0.7284 0.0000
0.4285 0.5715 0.0000
0.5715 0.4285 0.0000
0.7284 0.2716 0.0000
0.9282 0.0718 0.5000
```

Output
- space-group type = Cmmm
- formation energy from the elements (eV/atom) = 0.142

Entry 15:
The following is a DFT calculation (GGA-PBE) of crystalline ScCuIr2 at its relaxed geometry.

```
ScCuIr2
1.0
3.2528 0.0000 0.0000
0.0000 3.2528 0.0000
0.0000 0.0000 5.8222
Sc Cu Ir
1 1 2
direct
0.0000 0.0000 0.0000
0.5000 0.5000 0.2679
0.0000 0.0000 0.4683
0.5000 0.5000 0.7417
```

Output
- space-group type = P4mm
- formation energy from the elements (eV/atom) = -0.156

Entry 16:
The following is a DFT calculation (GGA-PBE) of crystalline LaBeAl at its relaxed geometry.

```
LaBeAl
1.0
6.1624 -1.9730 0.0000
6.1624 1.9730 0.0000
-2.2119 0.0000 5.1913
La Be Al
2 2 2
direct
0.1173 0.1173 0.2762
0.8827 0.8827 0.7238
0.2223 0.2223 0.8749
0.7777 0.7777 0.1251
0.3965 0.3965 0.2623
0.6035 0.6035 0.7377
```

Output
- space-group type = C2/m
- formation energy from the elements (eV/atom) = -0.196
- distance to the lowest polymorph of the same formula (meV/atom) = 0

Entry 17:
The following is a DFT calculation (GGA-PBE) of crystalline BPRhAu at its relaxed geometry.

```
BPRhAu
1.0
3.2152 0.0000 0.0000
0.0417 4.0646 0.0000
1.2875 1.9928 4.2705
B P Rh Au
1 1 1 1
direct
0.0000 0.0000 0.0000
0.6111 0.1363 0.7402
0.6021 0.7656 0.4771
0.1699 0.4212 0.1595
```

Output
- space-group type = P1
- formation energy from the elements (eV/atom) = 0.038
- distance to the lowest polymorph of the same formula (meV/atom) = 92

Entry 18:
The following is a DFT calculation (GGA-PBE) of crystalline Ho2TaTiN5 at its relaxed geometry.

```
Ho2TaTiN5
1.0
1.6310 -6.6047 0.0000
1.6310 6.6047 0.0000
0.0000 0.0000 10.2618
Ho Ta Ti N
4 2 2 10
direct
0.1037 0.8963 0.5000
0.1390 0.8610 0.1008
0.8610 0.1390 0.6008
0.8963 0.1037 0.0000
0.2193 0.7807 0.8217
0.7807 0.2193 0.3217
0.4760 0.5240 0.2740
0.5240 0.4760 0.7740
0.0572 0.9428 0.8640
0.2778 0.7222 0.4673
0.3096 0.6904 0.1996
0.3717 0.6283 0.8122
0.4963 0.5037 0.5923
0.5037 0.4963 0.0923
0.6283 0.3717 0.3122
0.6904 0.3096 0.6996
0.7222 0.2778 0.9673
0.9428 0.0572 0.3640
```

Output
- space-group type = Cmc2_1
- energy relative to the elements, uncorrected (eV/atom) = -1.455

Entry 19:
The following is a DFT calculation (GGA-PBE) of crystalline Na2ZrNiI at its relaxed geometry.

```
Na2ZrNiI
1.0
5.1485 0.0000 0.0000
0.0000 5.1485 0.0000
0.0000 0.0000 4.8647
Na Zr Ni I
2 1 1 1
direct
0.0000 0.5000 0.0000
0.5000 0.0000 0.0000
0.0000 0.0000 0.5000
0.5000 0.5000 0.0000
0.5000 0.5000 0.5000
```

Output
- space-group type = P4/mmm
- energy relative to the elements, uncorrected (eV/atom) = 0.854

Entry 20:
The following is a DFT calculation (GGA-PBE) of crystalline Cs2RbScTc at its relaxed geometry.

```
Cs2RbScTc
1.0
6.8400 0.0000 0.0000
0.0000 6.8400 0.0000
0.0000 0.0000 6.9672
Cs Rb Sc Tc
2 1 1 1
direct
0.0000 0.5000 0.0000
0.5000 0.0000 0.0000
0.0000 0.0000 0.5000
0.0000 0.0000 0.0000
0.5000 0.5000 0.5000
```

Output
- space-group type = P4/mmm
- formation energy from the elements (eV/atom) = 1.833

Entry 21:
The following is a DFT calculation (GGA-PBE) of crystalline Ac8Pm2Pr3 at its relaxed geometry.

```
Ac8Pm2Pr3
1.0
7.0424 -6.3370 0.0000
7.0424 6.3370 0.0000
-2.5478 0.0000 6.0863
Ac Pm Pr
8 2 3
direct
0.0623 0.0623 0.2962
0.0905 0.5808 0.8411
0.3535 0.3535 0.4270
0.4192 0.9095 0.1589
0.5808 0.0905 0.8411
0.6465 0.6465 0.5730
0.9095 0.4192 0.1589
0.9377 0.9377 0.7038
0.2056 0.2056 0.8582
0.7944 0.7944 0.1418
0.2458 0.7542 0.5000
0.5000 0.5000 0.0000
0.7542 0.2458 0.5000
```

Output
- space-group type = C2/m
- formation energy from the elements (eV/atom) = 0.167
- distance to the lowest polymorph of the same formula (meV/atom) = 0

Entry 22:
The following is a DFT calculation (GGA-PBE) of crystalline In4Ge at its relaxed geometry.

```
In4Ge
1.0
5.4014 0.0000 0.0000
0.0000 5.4014 0.0000
0.0000 0.0000 5.4014
In Ge
4 1
direct
0.0000 0.0000 0.0000
0.0000 0.5000 0.5000
0.5000 0.0000 0.5000
0.5000 0.5000 0.0000
0.5000 0.5000 0.5000
```

Output
- space-group type = Pm-3m
- formation energy from the elements (eV/atom) = 0.309

Entry 23:
The following is a DFT calculation (GGA-PBE) of crystalline CaReTc at its relaxed geometry.

```
CaReTc
1.0
2.9262 0.0000 0.0000
-1.4631 2.5342 0.0000
0.0000 0.0000 7.2349
Ca Re Tc
1 1 1
direct
0.0000 0.0000 0.0000
0.6667 0.3333 0.3634
0.3333 0.6667 0.6372
```

Output
- space-group type = P3m1
- formation energy from the elements (eV/atom) = 0.613
- distance to the lowest polymorph of the same formula (meV/atom) = 271

Entry 24:
The following is a DFT calculation (GGA-PBE) of crystalline CePu5N6 at its relaxed geometry.

```
CePu5N6
1.0
3.0283 -5.2348 0.0000
3.0283 5.2348 0.0000
-2.0274 0.0000 5.7065
Ce Pu N
1 5 6
direct
0.0000 0.0000 0.0000
0.1660 0.8340 0.5000
0.3337 0.6663 0.0000
0.5000 0.5000 0.5000
0.6663 0.3337 0.0000
0.8340 0.1660 0.5000
0.0788 0.4272 0.2527
0.2545 0.2545 0.7479
0.4272 0.0788 0.2527
0.5728 0.9212 0.7473
0.7455 0.7455 0.2521
0.9212 0.5728 0.7473
```

Output
- space-group type = C2/m
- energy relative to the elements, uncorrected (eV/atom) = -1.254

Entry 25:
The following is a DFT calculation (GGA-PBE) of crystalline AcSnPd2 at its relaxed geometry.

```
AcSnPd2
1.0
0.0000 3.5935 3.5935
3.5935 0.0000 3.5935
3.5935 3.5935 0.0000
Ac Sn Pd
1 1 2
direct
0.0000 0.0000 0.0000
0.5000 0.5000 0.5000
0.2500 0.2500 0.2500
0.7500 0.7500 0.7500
```

Output
- space-group type = Fm-3m
- formation energy from the elements (eV/atom) = -0.662

Entry 26:
The following is a DFT calculation (GGA-PBE) of crystalline LiCuS at its relaxed geometry.

```
LiCuS
1.0
0.0000 4.3052 5.5573
4.2597 0.0000 5.5573
4.2597 4.3052 0.0000
Li Cu S
4 4 4
direct
0.0138 0.0138 0.7362
0.2638 0.2638 0.9862
0.7362 0.7362 0.0138
0.9862 0.9862 0.2638
0.0000 0.5000 0.5000
0.5000 0.0000 0.5000
0.5000 0.5000 0.0000
0.5000 0.5000 0.5000
0.1016 0.6484 0.1016
0.3516 0.8984 0.3516
0.6484 0.1016 0.6484
0.8984 0.3516 0.8984
```

Output
- space-group type = Fddd
- energy relative to the elements, uncorrected (eV/atom) = -0.739